! RbHg2TePd PBE optimized geometry; values from VASP
! Uncorrected formation energy in eV per atom: -0.36
! Size of the total moment in μB/cell: 0.000
! DOS(E_F) in states/eV/f.u.: 2.6
&SYSTEM
  ibrav = 0, nat = 5, ntyp = 4
/
ATOMIC_SPECIES
Rb 85.47 Rb.upf
Hg 200.59 Hg.upf
Te 127.60 Te.upf
Pd 106.42 Pd.upf
CELL_PARAMETERS angstrom
5.3830 0.0000 0.0000
0.0000 5.3830 0.0000
0.0000 0.0000 5.5398
ATOMIC_POSITIONS angstrom
Rb 0.0000 0.0000 0.0000
Hg 0.0000 2.6915 2.7699
Hg 2.6915 0.0000 2.7699
Te 2.6915 2.6915 0.0000
Pd 2.6915 2.6915 2.7699

---

! RbHgTe2Pd PBE optimized geometry; values from VASP
! E above lowest polymorph in eV/atom: 0.047
! Uncorrected formation energy in eV per atom: -0.33
! Size of the total moment in μB/cell: 0.000
! DOS(E_F) in states/eV/f.u.: 3.7
&SYSTEM
  ibrav = 0, nat = 5, ntyp = 4
/
ATOMIC_SPECIES
Rb 85.47 Rb.upf
Hg 200.59 Hg.upf
Te 127.60 Te.upf
Pd 106.42 Pd.upf
CELL_PARAMETERS angstrom
5.4775 0.0000 0.0000
0.0000 5.4775 0.0000
0.0000 0.0000 5.3822
ATOMIC_POSITIONS angstrom
Rb 0.0000 0.0000 0.0000
Hg 2.7388 2.7388 0.0000
Te 0.0000 2.7388 2.6911
Te 2.7388 0.0000 2.6911
Pd 2.7388 2.7388 2.6911

---

! RbHgTe2Pd PBE optimized geometry; values from VASP
! E above lowest polymorph in eV/atom: 0.000
! Uncorrected formation energy in eV per atom: -0.38
! Size of the total moment in μB/cell: 0.000
! DOS(E_F) in states/eV/f.u.: 3.8
&SYSTEM
  ibrav = 0, nat = 10, ntyp = 4
/
ATOMIC_SPECIES
Rb 85.47 Rb.upf
Hg 200.59 Hg.upf
Te 127.60 Te.upf
Pd 106.42 Pd.upf
CELL_PARAMETERS angstrom
7.9074 0.0000 0.0000
0.0000 4.9638 0.0000
-0.1790 0.0000 8.2421
ATOMIC_POSITIONS angstrom
Rb -0.0447 0.0928 2.0605
Rb -0.1342 4.8710 6.1815
Hg 3.9537 0.0000 0.0000
Hg 3.8642 0.0000 4.1210
Te 1.9542 2.0906 8.2036
Te 2.0437 2.8732 4.0826
Te 5.6847 2.0906 4.1595
Te 5.7742 2.8732 0.0385
Pd 3.8194 2.4790 6.1815
Pd 3.9089 2.4849 2.0605